Entry 1:
A geometry-optimized Pr4Th2Sn3N2 structure, computed with PBE.

Cell and atoms, written as extended XYZ:
```
11
Lattice="4.890 0.000 0.000 0.000 4.890 0.000 -2.445 -2.445 13.145" Properties=species:S:1:pos:R:3 pbc="T T T"
Pr 0.000 2.445 10.993
Pr 2.445 0.000 10.993
Pr 2.445 0.000 2.152
Pr 0.000 2.445 2.152
Th 0.000 0.000 8.094
Th 2.445 2.445 5.050
N 2.445 2.445 2.874
N 0.000 0.000 10.270
Sn 0.000 0.000 4.703
Sn 0.000 0.000 0.000
Sn 2.445 2.445 8.441
```

## Properties
- Formation energy without anion corrections: -889.1 meV/atom
- Total energy: -6.582 eV per atom
- Density of states at the Fermi level: 0.635 states/eV/atom


Entry 2:
A geometry-optimized Pr4TlSnN structure, computed with PBE.

Cell and atoms, written as extended XYZ:
```
14
Lattice="-4.487 3.255 4.318 1.146 -4.913 4.896 8.511 2.913 0.931" Properties=species:S:1:pos:R:3 pbc="T T T"
Tl 5.168 2.308 3.631
Tl 0.002 -1.053 6.514
Sn 1.663 -0.231 1.903
Sn 3.507 1.486 8.242
N 1.128 2.635 4.904
N 4.042 -1.379 5.241
Pr 4.829 -1.000 2.913
Pr 1.935 -2.906 4.202
Pr 2.012 3.084 2.624
Pr -0.874 1.184 3.917
Pr 6.044 0.071 6.228
Pr 3.235 4.161 5.943
Pr 2.585 0.628 5.072
Pr 4.256 1.457 0.465
```

## Properties
- Formation energy without anion corrections: -725.2 meV/atom
- Total energy: -5.556 eV per atom
- Density of states at the Fermi level: 0.420 states/eV/atom


Entry 3:
A geometry-optimized Pr12Tl4SnN3 structure, computed with PBE.

Cell and atoms, written as extended XYZ:
```
20
Lattice="9.168 0.000 0.000 -3.056 8.643 0.000 -3.056 -4.322 7.485" Properties=species:S:1:pos:R:3 pbc="T T T"
Pr -4.425 3.129 5.420
Pr 4.425 -3.129 5.420
Pr -1.528 4.322 3.743
Pr 1.687 2.385 0.000
Pr -1.687 1.193 2.066
Pr 1.687 -1.193 2.066
Pr 4.584 0.000 3.743
Pr 4.425 6.258 0.000
Pr -1.528 1.080 5.614
Pr 1.528 -1.080 5.614
Pr 4.584 3.241 1.871
Pr 1.528 5.402 1.871
Tl -1.528 4.322 0.000
Tl 1.528 2.161 3.743
Tl -1.528 -2.161 3.743
Tl 4.584 0.000 0.000
N -3.056 2.161 3.743
N 3.056 4.322 0.000
N 3.056 -2.161 3.743
Sn 0.000 0.000 0.000
```

## Properties
- Formation energy without anion corrections: -530.7 meV/atom
- Total energy: -5.321 eV per atom
- Density of states at the Fermi level: 0.510 states/eV/atom


Entry 4:
A geometry-optimized Pr2USnN5 structure, computed with PBE.

Cell and atoms, written as extended XYZ:
```
18
Lattice="3.522 0.000 0.000 -1.761 7.235 0.000 0.000 0.000 10.742" Properties=species:S:1:pos:R:3 pbc="T T T"
N 0.000 5.341 0.049
N 1.761 1.894 5.420
N 0.000 4.064 6.854
N 1.761 3.171 1.483
N 0.000 7.190 8.360
N 1.761 6.384 6.003
N 1.761 2.874 9.442
N 0.000 4.361 4.071
N 1.761 0.046 2.989
N 0.000 0.852 0.632
Pr 1.761 5.629 2.115
Pr 0.000 1.904 3.126
Pr 1.761 5.332 8.497
Pr 0.000 1.606 7.486
U 1.761 4.094 5.453
U 0.000 3.141 0.081
Sn 0.000 6.986 5.047
Sn 1.761 0.250 10.418
```

## Properties
- Formation energy without anion corrections: -931.0 meV/atom
- Total energy: -8.317 eV per atom
- Density of states at the Fermi level: 0.305 states/eV/atom


Entry 5:
A geometry-optimized Pr2SnWN5 structure, computed with PBE.

Cell and atoms, written as extended XYZ:
```
18
Lattice="-1.056 3.054 1.321 -4.864 -4.948 2.937 6.571 -1.409 8.510" Properties=species:S:1:pos:R:3 pbc="T T T"
Pr 3.231 -1.672 6.448
Pr 1.095 -2.068 10.269
Pr 0.596 -1.458 3.847
Pr -3.668 -1.398 4.912
N 1.458 -2.869 7.799
N 3.563 -0.859 9.448
N -1.031 -2.847 5.757
N -1.724 -0.237 3.783
N -0.175 -4.427 10.093
N -2.457 -2.492 8.411
N -0.161 -0.109 0.124
N -3.799 -2.428 2.576
N 1.206 -0.179 5.992
N 1.137 1.057 3.079
W -2.141 -3.747 6.949
W 5.133 -0.058 8.851
Sn -1.996 -1.532 1.946
Sn -0.013 -1.201 7.378
```

## Properties
- Formation energy without anion corrections: -607.2 meV/atom
- Total energy: -8.178 eV per atom
- Density of states at the Fermi level: 0.209 states/eV/atom


Entry 6:
A geometry-optimized PrY2SnN4 structure, computed with PBE.

Cell and atoms, written as extended XYZ:
```
16
Lattice="-1.560 2.869 1.483 -4.263 -2.713 -3.576 -3.554 -6.780 9.379" Properties=species:S:1:pos:R:3 pbc="T T T"
N -6.276 -5.132 7.663
N -1.777 -3.390 4.690
N -3.102 -1.492 -0.378
N -7.183 -6.230 4.495
N 0.000 0.000 0.000
N -4.026 -3.254 2.060
N -2.195 -0.394 2.791
N -5.352 -3.369 5.226
Y -5.645 -4.581 2.923
Y -3.732 -2.043 4.363
Y -2.210 0.862 0.345
Y -7.167 -7.485 6.940
Pr -3.814 -5.376 6.388
Pr -5.563 -1.247 0.897
Sn -6.990 -4.549 5.783
Sn -2.388 -2.075 1.502
```

## Properties
- Formation energy without anion corrections: -867.6 meV/atom
- Total energy: -7.744 eV per atom
- Density of states at the Fermi level: 0.187 states/eV/atom


Entry 7:
A geometry-optimized Sr2Pr4N structure, computed with PBE.

Cell and atoms, written as extended XYZ:
```
7
Lattice="5.250 0.000 0.000 0.000 5.250 0.000 2.625 2.625 9.600" Properties=species:S:1:pos:R:3 pbc="T T T"
N 0.000 0.000 0.000
Pr 2.625 2.625 7.262
Pr 5.250 5.250 2.338
Pr 2.625 0.000 0.000
Pr 0.000 2.625 0.000
Sr 2.625 2.625 3.243
Sr 5.250 5.250 6.357
```

## Properties
- Formation energy without anion corrections: -183.5 meV/atom
- Total energy: -4.585 eV per atom
- Density of states at the Fermi level: 1.806 states/eV/atom


Entry 8:
A geometry-optimized SrPrN2 structure, computed with PBE.

Cell and atoms, written as extended XYZ:
```
4
Lattice="-3.038 -0.202 2.060 -0.562 -2.916 2.166 1.823 1.905 6.157" Properties=species:S:1:pos:R:3 pbc="T T T"
N 1.132 1.231 5.070
N -0.538 -0.394 2.449
Sr -0.848 -0.567 5.255
Pr -0.587 -0.184 8.957
```

## Properties
- Formation energy without anion corrections: -626.2 meV/atom
- Total energy: -6.404 eV per atom
- Density of states at the Fermi level: 0.748 states/eV/atom


Entry 9:
A geometry-optimized SrPrN structure, computed with PBE.

Cell and atoms, written as extended XYZ:
```
3
Lattice="3.797 0.000 0.000 -1.898 3.288 0.000 0.000 0.000 6.565" Properties=species:S:1:pos:R:3 pbc="T T T"
N 0.000 2.192 4.140
Sr 0.000 0.000 5.937
Pr 1.898 1.096 3.054
```

## Properties
- Formation energy without anion corrections: -674.2 meV/atom
- Total energy: -5.603 eV per atom
- Density of states at the Fermi level: 0.760 states/eV/atom


Entry 10:
A geometry-optimized SrPrN structure, computed with PBE.

Cell and atoms, written as extended XYZ:
```
6
Lattice="-2.552 -1.779 1.906 3.187 0.844 1.563 -5.243 12.021 4.202" Properties=species:S:1:pos:R:3 pbc="T T T"
Pr -3.383 10.647 5.409
Pr 0.688 1.313 2.147
Sr -3.182 7.296 2.550
Sr -2.061 4.725 1.652
N -1.348 5.980 3.778
N 0.000 0.000 0.000
```

## Properties
- Formation energy without anion corrections: -384.6 meV/atom
- Total energy: -5.313 eV per atom
- Density of states at the Fermi level: 0.745 states/eV/atom


Entry 11:
A geometry-optimized Sr2PrTaN4 structure, computed with PBE.

Cell and atoms, written as extended XYZ:
```
16
Lattice="7.102 -0.044 -0.129 -0.049 7.102 -0.129 -3.570 -3.573 5.118" Properties=species:S:1:pos:R:3 pbc="T T T"
Sr 3.551 -0.022 -0.064
Sr 3.526 3.529 -0.129
Sr 5.317 -1.831 2.431
Sr 1.766 -1.809 2.495
Ta 3.482 3.485 4.861
Ta 1.741 1.742 2.431
N 3.365 3.335 2.589
N 0.117 0.150 2.273
N 5.629 1.490 -0.085
N -2.146 1.994 4.946
N 0.205 3.214 2.387
N 1.592 1.625 0.158
N 1.891 1.860 4.703
N 3.277 0.270 2.474
Pr 3.507 -0.066 4.925
Pr 5.292 1.720 2.366
```

## Properties
- Formation energy without anion corrections: -967.1 meV/atom
- Total energy: -7.629 eV per atom
- Density of states at the Fermi level: 0.069 states/eV/atom


Entry 12:
A geometry-optimized SrPr2TaN4 structure, computed with PBE.

Cell and atoms, written as extended XYZ:
```
16
Lattice="-1.729 -3.104 -0.151 5.624 -0.939 -3.223 5.608 -3.652 10.852" Properties=species:S:1:pos:R:3 pbc="T T T"
N 0.000 0.000 0.000
N 4.580 -2.661 2.261
N 6.256 -5.900 7.794
N 8.140 -4.797 5.413
N 2.804 -1.826 5.426
N 3.248 -1.794 -0.316
N 4.924 -5.033 5.217
N 1.364 -2.897 2.065
Pr 8.943 -5.373 8.052
Pr 0.560 -2.321 -0.574
Pr 2.992 -3.905 4.132
Pr 6.511 -3.789 3.346
Ta 3.022 -1.761 1.590
Ta 6.481 -5.933 5.888
Sr 5.156 -3.236 7.481
Sr 4.348 -4.459 -0.003
```

## Properties
- Formation energy without anion corrections: -1113.7 meV/atom
- Total energy: -8.163 eV per atom
- Density of states at the Fermi level: 0.273 states/eV/atom